Density functional theory data (PBE) for K3La after structural relaxation.

* symmetry: P-6m2, No. 187
* mass density: 1.922 g cm⁻³
* E_form: 0.25 eV/atom

The structure in extended XYZ format:
```
4
Lattice="-1.1659 0.7617 -3.8355 -1.7137 -3.0614 2.0836 -10.8081 9.5815 5.1883" Properties=species:S:1:pos:R:3 pbc="T T T"
La -9.4546 6.6734 2.0288
K -4.0506 1.8827 -0.5654
K -5.5899 4.9555 2.6833
K -10.6223 9.4167 5.0991
```